Entry 1:
Density functional theory data (PBE-GGA) for Sm4Sn2Hg5 after structural relaxation.

Structure (POSCAR):
```
Sm4Sn2Hg5
1.0
-0.9911 2.1857 -2.8141
0.4390 -6.4107 -5.1338
-9.5632 -1.1993 2.4366
Sm Sn Hg
4 2 5
direct
0.5000 0.7356 0.5746
0.5000 0.1929 0.8880
0.5000 0.2644 0.4254
0.5000 0.8071 0.1120
0.0000 0.0793 0.6365
0.0000 0.9207 0.3635
0.0000 0.5410 0.3108
0.0000 0.1573 0.1468
0.0000 0.5000 0.0000
0.0000 0.8427 0.8532
0.0000 0.4590 0.6892
```

Properties
V: 27.32 Å³/atom
E_tot: -3.02 eV/atom

---

Entry 2:
Density functional theory data (PBE-GGA) for Ba3Hg7Pt2 after structural relaxation.

Structure (POSCAR):
```
Ba3Hg7Pt2
1.0
-0.1862 -2.4314 -4.0940
4.6254 1.2906 -0.9768
2.7409 -13.1498 7.6850
Ba Hg Pt
3 7 2
direct
0.0000 0.8284 0.6547
0.0000 0.1716 0.3453
0.5000 0.5000 0.0000
0.5000 0.9187 0.8331
0.5000 0.0813 0.1669
0.5000 0.7232 0.4457
0.5000 0.2768 0.5543
0.0000 0.0000 0.0000
0.0000 0.4162 0.8325
0.0000 0.5838 0.1675
0.5000 0.6300 0.2675
0.5000 0.3700 0.7325
```

Properties
V: 29.75 Å³/atom
E_tot: -2.11 eV/atom

---

Entry 3:
Density functional theory data (PBE-GGA) for CaBeCu3 after structural relaxation.

Structure (POSCAR):
```
CaBeCu3
1.0
4.2871 0.0000 0.0000
0.0000 4.2871 0.0000
0.0000 0.0000 4.2871
Be Ca Cu
1 1 3
direct
0.0000 0.0000 0.0000
0.5000 0.5000 0.5000
0.0000 0.5000 0.0000
0.0000 0.0000 0.5000
0.5000 0.0000 0.0000
```

Properties
V: 15.76 Å³/atom
Energy relative to the lowest polymorph listed for this composition: 0 meV/atom
E_tot: -3.55 eV/atom

---

The lowest E_tot belongs to which entry? CaBeCu3

---

What is the E_tot in the first record? -3.02 eV/atom